Entry 1:
Rb2PaTlSe5 PBE-GGA relaxed; V = 35.32 A^3/atom; magnetization = 0.0 μB/f.u.; uncorrected formation energy = -1.035 eV per atom
1.0
2.1551 -10.0919 0.0000
2.1551 10.0919 0.0000
0.0000 0.0000 14.6167
Rb Pa Tl Se
4 2 2 10
Direct
0.1154 0.8846 0.5000
0.1307 0.8693 0.1374
0.8693 0.1307 0.6374
0.8846 0.1154 0.0000
0.2087 0.7913 0.8379
0.7913 0.2087 0.3379
0.4478 0.5522 0.2499
0.5522 0.4478 0.7499
0.0637 0.9363 0.8672
0.2939 0.7061 0.4604
0.3052 0.6948 0.2096
0.3377 0.6623 0.8226
0.4986 0.5014 0.5931
0.5014 0.4986 0.0931
0.6623 0.3377 0.3226
0.6948 0.3052 0.7096
0.7061 0.2939 0.9604
0.9363 0.0637 0.3672



Entry 2:
Ba3Zr2 PBE-GGA relaxed; ΔE_f = 658 meV/atom; V = 36.80 A^3/atom; magnetization = 0.0 μB/f.u.
1.0
1.8472 1.0665 15.5668
-1.8472 1.0665 15.5668
0.0000 -2.1329 15.5668
Ba Zr
3 2
Direct
0.0000 0.0000 0.0000
0.2085 0.2085 0.2085
0.7915 0.7915 0.7915
0.3964 0.3964 0.3964
0.6036 0.6036 0.6036



Entry 3:
Mg2HBr2 PBE-GGA relaxed; V = 20.89 A^3/atom; offset from the most stable computed form = 0 meV per atom; magnetization = 0.0 μB/f.u.
1.0
6.8185 0.0000 0.0000
0.0000 6.8185 0.0000
0.0000 0.0000 4.4942
Mg H Br
4 2 4
Direct
0.1821 0.3179 0.0000
0.3179 0.8179 0.0000
0.6821 0.1821 0.0000
0.8179 0.6821 0.0000
0.0000 0.0000 0.0000
0.5000 0.5000 0.0000
0.1730 0.6730 0.5000
0.3270 0.1730 0.5000
0.6730 0.8270 0.5000
0.8270 0.3270 0.5000



Entry 4:
ZrSc2Cl PBE-GGA relaxed; V = 22.74 A^3/atom; offset from the most stable computed form = 965 meV per atom; magnetization = 1.8 μB/f.u.; uncorrected formation energy = 0.332 eV per atom
1.0
0.0000 3.5696 3.5696
3.5696 0.0000 3.5696
3.5696 3.5696 0.0000
Zr Sc Cl
1 2 1
Direct
0.0000 0.0000 0.0000
0.2500 0.2500 0.2500
0.5000 0.5000 0.5000
0.7500 0.7500 0.7500



Entry 5:
Rb2HfF2 PBE-GGA relaxed; V = 41.70 A^3/atom; offset from the most stable computed form = 236 meV per atom; magnetization = 2.0 μB/f.u.; uncorrected formation energy = -0.757 eV per atom
1.0
-2.6284 2.6284 7.5457
2.6284 -2.6284 7.5457
2.6284 2.6284 -7.5457
Rb Hf F
2 1 2
Direct
0.2500 0.7500 0.5000
0.7500 0.2500 0.5000
0.0000 0.0000 0.0000
0.2941 0.2941 0.0000
0.7059 0.7059 0.0000



Entry 6:
Ce2Zn16Ga PBE-GGA relaxed; ΔE_f = -227 meV/atom; V = 16.53 A^3/atom; magnetization = 1.8 μB/f.u.
1.0
4.5406 2.6215 4.3962
-4.5406 2.6215 4.3962
0.0000 -5.2431 4.3962
Ce Zn Ga
2 16 1
Direct
0.0000 0.0000 0.0000
0.3291 0.3291 0.3291
0.0149 0.0149 0.5020
0.0149 0.5020 0.0149
0.1589 0.6673 0.6673
0.3122 0.3122 0.8287
0.3122 0.8287 0.3122
0.3661 0.6644 0.9630
0.3661 0.9630 0.6644
0.5020 0.0149 0.0149
0.6644 0.3661 0.9630
0.6644 0.9630 0.3661
0.6673 0.1589 0.6673
0.6673 0.6673 0.1589
0.7618 0.7618 0.7618
0.8287 0.3122 0.3122
0.9630 0.3661 0.6644
0.9630 0.6644 0.3661
0.5632 0.5632 0.5632



Entry 7:
Ca2Y2Co PBE-GGA relaxed; ΔE_f = 675 meV/atom; V = 29.89 A^3/atom; offset from the most stable computed form = 494 meV per atom; magnetization = 1.2 μB/f.u.
1.0
-2.0097 2.0097 9.2506
2.0097 -2.0097 9.2506
2.0097 2.0097 -9.2506
Ca Y Co
2 2 1
Direct
0.2500 0.7500 0.5000
0.7500 0.2500 0.5000
0.0823 0.0823 0.0000
0.9177 0.9177 0.0000
0.5000 0.5000 0.0000



Entry 8:
CdTcBr4 PBE-GGA relaxed; V = 29.59 A^3/atom; magnetization = 3.1 μB/f.u.; uncorrected formation energy = 1.011 eV per atom
1.0
0.0000 4.4609 4.4609
4.4609 0.0000 4.4609
4.4609 4.4609 0.0000
Cd Tc Br
1 1 4
Direct
0.0000 0.0000 0.0000
0.7500 0.7500 0.7500
0.3749 0.3749 0.3749
0.3749 0.3749 0.8753
0.3749 0.8753 0.3749
0.8753 0.3749 0.3749



Entry 9:
K2Hg5Pd2 PBE-GGA relaxed; ΔE_f = -182 meV/atom; V = 27.63 A^3/atom; magnetization = 0.0 μB/f.u.
1.0
5.4337 0.0000 0.0000
0.0000 5.4337 0.0000
0.0000 0.0000 8.4221
K Hg Pd
2 5 2
Direct
0.0000 0.0000 0.0000
0.0000 0.0000 0.5000
0.0000 0.5000 0.2218
0.0000 0.5000 0.7782
0.5000 0.0000 0.2218
0.5000 0.0000 0.7782
0.5000 0.5000 0.5000
0.5000 0.5000 0.1735
0.5000 0.5000 0.8265



Entry 10:
BeIrAuO PBE-GGA relaxed; V = 16.39 A^3/atom; offset from the most stable computed form = 543 meV per atom; magnetization = 0.0 μB/f.u.; uncorrected formation energy = -0.338 eV per atom
1.0
2.7630 0.0000 0.0000
0.0019 4.8436 0.0000
0.0788 0.6568 4.8983
Be Ir Au O
1 1 1 1
Direct
0.0000 0.0000 0.0000
0.5008 0.6093 0.9694
0.4916 0.8118 0.4425
0.0013 0.3158 0.9415



Entry 11:
Tb6ErTl5 PBE-GGA relaxed; ΔE_f = -280 meV/atom; V = 28.14 A^3/atom; offset from the most stable computed form = 0 meV per atom; magnetization = 0.0 μB/f.u.
1.0
-2.5057 4.4303 7.6050
2.5057 -4.4303 7.6050
2.5057 4.4303 -7.6050
Tb Er Tl
6 1 5
Direct
0.0666 0.3297 0.7369
0.2282 0.0000 0.2282
0.4072 0.6703 0.7369
0.5928 0.3297 0.2631
0.7718 0.0000 0.7718
0.9334 0.6703 0.2631
0.5000 0.5000 0.0000
0.0000 0.5000 0.5000
0.1780 0.1780 0.0000
0.3524 0.8524 0.5000
0.6476 0.1476 0.5000
0.8220 0.8220 0.0000



Entry 12:
CdGe2Se2 PBE-GGA relaxed; V = 24.91 A^3/atom; offset from the most stable computed form = 0 meV per atom; magnetization = 0.0 μB/f.u.; uncorrected formation energy = 0.021 eV per atom
1.0
8.1661 0.0000 0.0000
0.0000 8.1661 0.0000
0.0000 0.0000 3.7351
Cd Ge Se
2 4 4
Direct
0.0000 0.0000 0.0000
0.5000 0.5000 0.0000
0.1872 0.3128 0.0000
0.3128 0.8128 0.0000
0.6872 0.1872 0.0000
0.8128 0.6872 0.0000
0.1633 0.6633 0.5000
0.3367 0.1633 0.5000
0.6633 0.8367 0.5000
0.8367 0.3367 0.5000



Entry 13:
BaCaNi2Cl8 PBE-GGA relaxed; V = 27.48 A^3/atom; magnetization = 4.0 μB/f.u.; uncorrected formation energy = -1.380 eV per atom
1.0
6.4430 0.0000 0.0000
-3.2215 5.5798 0.0000
0.0000 0.0000 9.1727
Ba Ca Ni Cl
1 1 2 8
Direct
0.0000 0.0000 0.0000
0.0000 0.0000 0.5000
0.3333 0.6667 0.7495
0.6667 0.3333 0.2505
0.0008 0.3163 0.6998
0.3155 0.9992 0.6998
0.3163 0.3155 0.3002
0.3333 0.6667 0.9910
0.6667 0.3333 0.0090
0.6837 0.6845 0.6998
0.6845 0.0008 0.3002
0.9992 0.6837 0.3002



Entry 14:
TlCdGa2 PBE-GGA relaxed; ΔE_f = 59 meV/atom; V = 23.60 A^3/atom; offset from the most stable computed form = 0 meV per atom; magnetization = 0.0 μB/f.u.
1.0
2.3186 -5.7626 0.0000
2.3186 5.7626 0.0000
0.0000 0.0000 7.0667
Tl Cd Ga
2 2 4
Direct
0.0716 0.9284 0.7500
0.9284 0.0716 0.2500
0.2189 0.7811 0.2500
0.7811 0.2189 0.7500
0.3852 0.6148 0.5561
0.3852 0.6148 0.9439
0.6148 0.3852 0.0561
0.6148 0.3852 0.4439



Entry 15:
Er2CoS PBE-GGA relaxed; V = 22.60 A^3/atom; offset from the most stable computed form = 799 meV per atom; magnetization = 0.9 μB/f.u.; uncorrected formation energy = -0.310 eV per atom
1.0
1.7617 1.0171 8.4097
-1.7617 1.0171 8.4097
0.0000 -2.0342 8.4097
Er Co S
2 1 1
Direct
0.0977 0.0977 0.0977
0.9023 0.9023 0.9023
0.0000 0.0000 0.0000
0.5000 0.5000 0.5000



Entry 16:
CdGaCu2 PBE-GGA relaxed; ΔE_f = 15 meV/atom; V = 15.23 A^3/atom; magnetization = 0.0 μB/f.u.
1.0
3.1676 0.0000 0.0000
0.0000 3.1676 0.0000
0.0000 0.0000 6.0705
Cd Ga Cu
1 1 2
Direct
0.0000 0.0000 0.0000
0.0000 0.0000 0.5000
0.5000 0.5000 0.2802
0.5000 0.5000 0.7198



Entry 17:
Te2W PBE-GGA relaxed; V = 30.39 A^3/atom; magnetization = 0.0 μB/f.u.; uncorrected formation energy = -0.080 eV per atom
1.0
3.5559 0.0000 0.0000
-1.7779 3.0795 0.0000
0.0000 0.0000 8.3257
Te W
2 1
Direct
0.0000 0.0000 0.2182
0.0000 0.0000 0.7818
0.6667 0.3333 0.0000



Entry 18:
Nd2CdPt5Rh2 PBE-GGA relaxed; ΔE_f = -641 meV/atom; V = 18.87 A^3/atom; magnetization = 0.0 μB/f.u.
1.0
9.4595 0.0000 0.0000
0.0000 9.4595 0.0000
0.0000 0.0000 4.2182
Nd Cd Pt Rh
4 2 10 4
Direct
0.1716 0.3284 0.0000
0.3284 0.8284 0.0000
0.6716 0.1716 0.0000
0.8284 0.6716 0.0000
0.0000 0.0000 0.0000
0.5000 0.5000 0.0000
0.0000 0.5000 0.5000
0.0649 0.7951 0.5000
0.2049 0.0649 0.5000
0.2951 0.5649 0.5000
0.4351 0.2951 0.5000
0.5000 0.0000 0.5000
0.5649 0.7049 0.5000
0.7049 0.4351 0.5000
0.7951 0.9351 0.5000
0.9351 0.2049 0.5000
0.1259 0.6259 0.0000
0.3741 0.1259 0.0000
0.6259 0.8741 0.0000
0.8741 0.3741 0.0000



Entry 19:
TiP2Au PBE-GGA relaxed; ΔE_f = -125 meV/atom; V = 21.76 A^3/atom; offset from the most stable computed form = 0 meV per atom; magnetization = 0.0 μB/f.u.
1.0
-2.8576 2.8576 5.3298
2.8576 -2.8576 5.3298
2.8576 2.8576 -5.3298
Ti P Au
2 4 2
Direct
0.0000 0.0000 0.0000
0.7500 0.2500 0.5000
0.1180 0.6250 0.9930
0.3750 0.3680 0.4930
0.6320 0.1250 0.0070
0.8750 0.8820 0.5070
0.2500 0.7500 0.5000
0.5000 0.5000 0.0000



Entry 20:
In2GeCl PBE-GGA relaxed; V = 24.62 A^3/atom; offset from the most stable computed form = 0 meV per atom; magnetization = 0.0 μB/f.u.; uncorrected formation energy = -0.196 eV per atom
1.0
5.4711 0.0000 0.0000
0.0000 5.4711 0.0000
0.0000 0.0000 3.2904
In Ge Cl
2 1 1
Direct
0.0000 0.5000 0.0000
0.5000 0.0000 0.0000
0.0000 0.0000 0.5000
0.5000 0.5000 0.5000



Entry 21:
In2FeSi PBE-GGA relaxed; V = 19.00 A^3/atom; magnetization = 2.6 μB/f.u.; uncorrected formation energy = 0.527 eV per atom
1.0
4.7990 -1.5481 0.0000
4.7990 1.5481 0.0000
-0.9961 0.0000 5.1146
In Fe Si
2 1 1
Direct
0.2398 0.2398 0.2415
0.7602 0.7602 0.7585
0.5000 0.5000 0.0000
0.0000 0.0000 0.5000



Entry 22:
Mg3SnPb2 PBE-GGA relaxed; ΔE_f = -68 meV/atom; V = 25.65 A^3/atom; magnetization = 0.0 μB/f.u.
1.0
2.7064 -8.1437 0.0000
2.7064 8.1437 0.0000
0.0000 0.0000 6.9815
Mg Sn Pb
6 2 4
Direct
0.0000 0.0000 0.2455
0.0000 0.0000 0.7545
0.3281 0.6719 0.2350
0.3281 0.6719 0.7650
0.6719 0.3281 0.2350
0.6719 0.3281 0.7650
0.1608 0.8392 0.0000
0.8392 0.1608 0.0000
0.1663 0.8337 0.5000
0.5000 0.5000 0.0000
0.5000 0.5000 0.5000
0.8337 0.1663 0.5000



Entry 23:
CaYCd2 PBE-GGA relaxed; ΔE_f = -369 meV/atom; V = 27.06 A^3/atom; magnetization = 0.0 μB/f.u.
1.0
3.7653 0.0000 0.0000
0.0000 5.3606 0.0000
0.0000 0.0000 5.3630
Ca Y Cd
1 1 2
Direct
0.0000 0.0000 0.0000
0.0000 0.5000 0.4986
0.5000 0.0000 0.5004
0.5000 0.5000 0.9983